(1)
Entry from Alexandria via LeMat-Bulk: a geometry-optimized La2Nd4ErTh structure (GGA-PBE).

Output
Density   7.54 Mg/m³
Energy   -0.183 hartree per atom
Density of states at the Fermi level   16.211 states/eV per cell

```
8
Lattice="6.120 0.000 0.000 0.000 6.134 0.000 -0.011 0.000 7.360" Properties=species:S:1:pos:R:3 pbc="T T T"
La 0.000 0.000 0.000
La 3.054 3.067 3.680
Nd 6.117 3.067 1.803
Nd -0.008 3.067 5.557
Nd 3.060 0.000 1.802
Nd 3.049 0.000 5.558
Er -0.005 0.000 3.680
Th 3.060 3.067 0.000
```



(2)
Entry from Alexandria via LeMat-Bulk: a geometry-optimized Li2ReNi structure (GGA-PBE).

Output
Density   8.10 Mg/m³
Excess energy over the best structure of this formula in the dataset   224.5 meV/atom
Density of states at the Fermi level   3.548 states/eV per cell

```
4
Lattice="2.472 0.000 0.000 0.000 4.398 0.000 0.000 0.000 4.878" Properties=species:S:1:pos:R:3 pbc="T T T"
Li 0.000 0.000 1.222
Li 0.000 0.000 3.656
Re 1.236 2.199 0.000
Ni 1.236 2.199 2.439
```



(3)
Entry from Alexandria via LeMat-Bulk: a geometry-optimized HfZrCo4 structure (GGA-PBE).

Output
Density   10.23 Mg/m³
Energy   -0.300 hartree per atom
Density of states at the Fermi level   8.459 states/eV per cell

```
6
Lattice="0.000 3.449 3.449 3.449 0.000 3.449 3.449 3.449 0.000" Properties=species:S:1:pos:R:3 pbc="T T T"
Hf 0.000 0.000 0.000
Zr 5.173 5.173 5.173
Co 2.583 2.583 2.583
Co 4.314 4.314 2.583
Co 4.314 2.583 4.314
Co 2.583 4.314 4.314
```



(4)
Entry from Alexandria via LeMat-Bulk: a geometry-optimized Hg2TeMo structure (GGA-PBE).

Output
Formation energy without anion corrections   685 meV/atom
Density   11.89 Mg/m³
Density of states at the Fermi level   3.085 states/eV per cell

```
4
Lattice="2.969 -4.826 0.000 2.969 4.826 0.000 0.000 0.000 3.044" Properties=species:S:1:pos:R:3 pbc="T T T"
Hg 1.484 2.413 0.000
Hg 1.484 -2.413 0.000
Te 0.000 0.000 1.522
Mo 2.969 0.000 1.522
```



(5)
Entry from Alexandria via LeMat-Bulk: a geometry-optimized Sm8Y3Tm2 structure (GGA-PBE).

Output
Density   6.75 Mg/m³
Energy   -0.179 hartree per atom
Density of states at the Fermi level   18.635 states/eV per cell

```
13
Lattice="10.089 -3.860 0.000 10.089 3.860 0.000 -0.002 0.000 5.705" Properties=species:S:1:pos:R:3 pbc="T T T"
Sm 7.914 2.266 5.704
Sm 3.475 0.000 2.856
Sm 12.263 2.266 0.001
Sm 7.397 0.000 2.855
Sm 12.779 0.000 2.850
Sm 7.914 -2.266 5.704
Sm 16.702 0.000 2.849
Sm 12.263 -2.266 0.001
Y 10.088 2.206 2.852
Y 10.089 0.000 0.000
Y 10.088 -2.206 2.852
Tm 5.237 0.000 0.005
Tm 14.939 0.000 5.700
```



(6)
Entry from Alexandria via LeMat-Bulk: a geometry-optimized VGeN2 structure (GGA-PBE).

Output
Formation energy without anion corrections   -293 meV/atom
Density   5.71 Mg/m³
Density of states at the Fermi level   1.279 states/eV per cell

```
4
Lattice="1.436 0.829 6.171 -1.436 0.829 6.171 0.000 -1.659 6.171" Properties=species:S:1:pos:R:3 pbc="T T T"
V 0.000 0.000 0.000
Ge 0.000 0.000 9.256
N 0.000 0.000 7.276
N 0.000 0.000 11.236
```



(7)
Entry from Alexandria via LeMat-Bulk: a geometry-optimized BeIn2Pb2 structure (GGA-PBE).

Output
Density   7.81 Mg/m³
Excess energy over the best structure of this formula in the dataset   54.7 meV/atom
Density of states at the Fermi level   4.361 states/eV per cell

```
10
Lattice="6.915 0.000 0.000 0.000 6.915 0.000 0.000 0.000 5.809" Properties=species:S:1:pos:R:3 pbc="T T T"
Be 0.000 0.000 0.000
Be 3.457 3.457 0.000
In 1.146 2.312 2.904
In 2.312 5.769 2.904
In 4.603 1.146 2.904
In 5.769 4.603 2.904
Pb 1.121 4.579 0.000
Pb 2.336 1.121 0.000
Pb 4.579 5.794 0.000
Pb 5.794 2.336 0.000
```



(8)
Entry from Alexandria via LeMat-Bulk: a geometry-optimized Sb6Pd12Au structure (GGA-PBE).

Output
Formation energy without anion corrections   -239 meV/atom
Density   9.85 Mg/m³
Density of states at the Fermi level   9.374 states/eV per cell

```
19
Lattice="6.290 3.632 2.712 -6.290 3.632 2.712 0.000 -7.264 2.712" Properties=species:S:1:pos:R:3 pbc="T T T"
Sb 0.000 -3.004 3.411
Sb -2.602 1.502 3.411
Sb -2.602 -1.502 4.725
Sb 2.602 1.502 3.411
Sb 2.602 -1.502 4.725
Sb 0.000 3.004 4.725
Pd -2.374 -4.112 4.068
Pd -4.748 0.000 4.068
Pd -1.453 -0.839 2.326
Pd 1.453 -0.839 2.326
Pd 0.000 1.678 2.326
Pd 2.374 -4.112 4.068
Pd -2.374 4.112 4.068
Pd 0.000 -1.678 5.810
Pd -1.453 0.839 5.810
Pd 1.453 0.839 5.810
Pd 4.748 0.000 4.068
Pd 2.374 4.112 4.068
Au 0.000 0.000 0.000
```



(9)
Entry from Alexandria via LeMat-Bulk: a geometry-optimized GdScTlAg structure (GGA-PBE).

Output
Density   8.84 Mg/m³
Energy   -0.247 hartree per atom
Density of states at the Fermi level   3.963 states/eV per cell

```
4
Lattice="0.000 3.642 3.642 3.642 0.000 3.642 3.642 3.642 0.000" Properties=species:S:1:pos:R:3 pbc="T T T"
Gd 0.000 0.000 0.000
Sc 3.642 3.642 3.642
Tl 1.821 1.821 1.821
Ag 5.463 5.463 5.463
```



(10)
Entry from Alexandria via LeMat-Bulk: a geometry-optimized Sc2SeS2 structure (GGA-PBE).

Output
Formation energy without anion corrections   -1836 meV/atom
Density   3.37 Mg/m³
Excess energy over the best structure of this formula in the dataset   0.0 meV/atom

```
5
Lattice="-1.884 2.564 5.951 1.884 -2.564 5.951 1.884 2.564 -5.951" Properties=species:S:1:pos:R:3 pbc="T T T"
Sc 0.000 0.000 1.949
Sc 0.000 0.000 9.953
Se 1.884 0.000 0.000
S 1.884 0.000 3.694
S 0.000 2.564 2.257
```



(11)
Entry from Alexandria via LeMat-Bulk: a geometry-optimized Rb2TlP2S6 structure (GGA-PBE).

Output
Formation energy without anion corrections   -597 meV/atom
Density   3.01 Mg/m³
Density of states at the Fermi level   9.074 states/eV per cell

```
11
Lattice="3.537 2.042 8.025 -3.537 2.042 8.025 0.000 -4.084 8.025" Properties=species:S:1:pos:R:3 pbc="T T T"
Rb 0.000 0.000 5.204
Rb 0.000 0.000 18.872
Tl 0.000 0.000 0.000
P 0.000 0.000 10.855
P 0.000 0.000 13.221
S -1.701 -0.982 13.703
S 0.000 -1.965 10.373
S -1.701 0.982 10.373
S 1.701 -0.982 13.703
S 0.000 1.965 13.703
S 1.701 0.982 10.373
```



(12)
Entry from Alexandria via LeMat-Bulk: a geometry-optimized CaPm6Nd4 structure (GGA-PBE).

Output
Density   5.87 Mg/m³
Excess energy over the best structure of this formula in the dataset   62.4 meV/atom
Density of states at the Fermi level   15.515 states/eV per cell

```
11
Lattice="-3.994 3.994 6.588 3.994 -3.994 6.588 3.994 3.994 -6.588" Properties=species:S:1:pos:R:3 pbc="T T T"
Ca 0.000 0.000 0.000
Pm 3.994 0.000 0.000
Pm 1.957 -1.957 4.080
Pm 2.038 2.038 2.508
Pm 0.000 3.994 0.000
Pm -1.957 1.957 4.080
Pm 1.957 1.957 9.096
Nd 2.654 2.654 -0.993
Nd 1.341 -1.341 7.580
Nd 1.341 1.341 5.595
Nd -1.341 1.341 7.580
```